First-principles (GGA-PBEsol) data for KCo2Br after structural relaxation, as listed in Alexandria via LeMat-Bulk.

Lattice parameters (Å, degrees): 4.745 4.745 15.499 90.00 90.00 90.00
Space group I4_1/amd (No. 141, origin choice 2)
Symmetry-distinct sites (fractional):
K 0.000 0.250 0.375 x4
Co 0.000 0.000 0.000 x8
Br 0.000 0.250 0.875 x4

Summary:
total moment: 7.0 μB/cell
E above lowest polymorph: 1.250 eV/f.u.
DFT total energy: -4.008 eV/atom

=====

First-principles (GGA-PBEsol) data for MnNi4Au after structural relaxation, as listed in Alexandria via LeMat-Bulk.

Lattice parameters (Å, degrees): 6.593 6.593 6.593 90.00 90.00 90.00
Space group F-43m (No. 216)
Symmetry-distinct sites (fractional):
Mn 0.000 0.000 0.000 x4
Ni 0.125 0.125 0.375 x16
Au 0.250 0.250 0.750 x4

Summary:
total moment: 18.5 μB/cell
DFT total energy: -6.357 eV/atom